First-principles (PBE) data for a relaxed Nd2Y6Er3Th crystal, as listed in the Alexandria database.

Cell and atoms, written as extended XYZ:
```
12
Lattice="3.1050 -5.3720 0.0000 3.1050 5.3720 0.0000 -2.0668 0.0000 11.6403" Properties=species:S:1:pos:R:3 pbc="T T T"
Nd 3.1050 3.5822 0.0000
Nd 3.1050 -3.5822 0.0000
Y 0.0083 1.7713 8.7072
Y 1.0644 0.0000 2.9341
Y 0.0083 -1.7713 8.7072
Y 4.1349 1.7713 2.9331
Y 3.0787 0.0000 8.7062
Y 4.1349 -1.7713 2.9331
Er -1.0334 0.0000 5.8201
Er 2.0716 1.7945 5.8201
Er 2.0716 -1.7945 5.8201
Th 3.1050 0.0000 0.0000
```

Values from the calculation:
VASP energy   -5.75 eV per atom
ΔH_f (0 K)   0.0338 eV/atom
SG   C2/m (12)
Calculated volume   32.36 Å³ per atom